# HoTmNiGe PBE-GGA relaxed
# Calculated volume in Å³ per cell: 82.01
# E in eV per cell: -21.69
data_HoTmNiGe
_space_group_name_H-M_alt 'P 1'
_space_group_IT_number 1
_space_group_name_Hall 'P 1'
_cell_length_a 4.877
_cell_length_b 4.877
_cell_length_c 4.877
_cell_angle_alpha 60.00
_cell_angle_beta 60.00
_cell_angle_gamma 60.00
loop_
_atom_site_label
_atom_site_type_symbol
_atom_site_fract_x
_atom_site_fract_y
_atom_site_fract_z
Ho1 Ho 0.000 0.000 0.000
Tm1 Tm 0.500 0.500 0.500
Ni1 Ni 0.250 0.250 0.250
Ge1 Ge 0.750 0.750 0.750